(1)
Entry from Alexandria: crystalline SbMo3Au at its relaxed geometry (PBEsol).

Cell lengths 4.8063, 4.8063, 4.8063 Å; angles 90.00, 90.00, 90.00 degrees
Element x y z (fractional)
Sb (0.0000, 0.0000, 0.0000)
Mo (0.0000, 0.5000, 0.5000)
Mo (0.5000, 0.0000, 0.5000)
Mo (0.5000, 0.5000, 0.0000)
Au (0.5000, 0.5000, 0.5000)

**Space group**: No. 221
**E_form (uncorrected)**: 2.093 eV/atom

(2)
Entry from Alexandria: crystalline AlTlSN2 at its relaxed geometry (PBEsol).

Cell lengths 3.7694, 3.7694, 5.2472 Å; angles 90.00, 90.00, 90.00 degrees
Element x y z (fractional)
Al (0.0000, 0.0000, 0.0000)
Tl (0.5000, 0.5000, 0.5000)
S (0.0000, 0.0000, 0.5000)
N (0.0000, 0.5000, 0.0000)
N (0.5000, 0.0000, 0.0000)

**Space group**: No. 123
**E_form (uncorrected)**: 0.528 eV/atom

(3)
Entry from Alexandria: crystalline K3Ba2Pr2Bi3O15 at its relaxed geometry (PBEsol).

Cell lengths 25.5866, 25.5866, 25.5866 Å; angles 13.87, 13.87, 13.87 degrees
Element x y z (fractional)
K (0.0477, 0.0477, 0.0477)
K (0.3491, 0.3491, 0.3491)
K (0.4480, 0.4480, 0.4480)
K (0.5520, 0.5520, 0.5520)
K (0.6509, 0.6509, 0.6509)
K (0.9523, 0.9523, 0.9523)
Ba (0.1506, 0.1506, 0.1506)
Ba (0.2520, 0.2520, 0.2520)
Ba (0.7480, 0.7480, 0.7480)
Ba (0.8494, 0.8494, 0.8494)
Pr (0.2011, 0.2011, 0.2011)
Pr (0.3978, 0.3978, 0.3978)
Pr (0.6022, 0.6022, 0.6022)
Pr (0.7989, 0.7989, 0.7989)
Bi (0.0000, 0.0000, 0.0000)
Bi (0.0988, 0.0988, 0.0988)
Bi (0.3018, 0.3018, 0.3018)
Bi (0.5000, 0.5000, 0.5000)
Bi (0.6982, 0.6982, 0.6982)
Bi (0.9012, 0.9012, 0.9012)
O (0.0227, 0.5610, 0.5610)
O (0.0448, 0.0448, 0.5661)
O (0.0448, 0.5661, 0.0448)
O (0.1502, 0.1502, 0.6521)
O (0.1502, 0.6521, 0.1502)
O (0.1550, 0.6498, 0.6498)
O (0.2377, 0.7570, 0.7570)
O (0.2430, 0.2430, 0.7623)
O (0.2430, 0.7623, 0.2430)
O (0.3479, 0.8498, 0.8498)
O (0.3502, 0.3502, 0.8450)
O (0.3502, 0.8450, 0.3502)
O (0.4339, 0.9552, 0.9552)
O (0.4390, 0.4390, 0.9773)
O (0.4390, 0.9773, 0.4390)
O (0.5610, 0.0227, 0.5610)
O (0.5610, 0.5610, 0.0227)
O (0.5661, 0.0448, 0.0448)
O (0.6498, 0.1550, 0.6498)
O (0.6498, 0.6498, 0.1550)
O (0.6521, 0.1502, 0.1502)
O (0.7570, 0.2377, 0.7570)
O (0.7570, 0.7570, 0.2377)
O (0.7623, 0.2430, 0.2430)
O (0.8450, 0.3502, 0.3502)
O (0.8498, 0.3479, 0.8498)
O (0.8498, 0.8498, 0.3479)
O (0.9552, 0.4339, 0.9552)
O (0.9552, 0.9552, 0.4339)
O (0.9773, 0.4390, 0.4390)

**Space group**: No. 166
**E_form (uncorrected)**: -1.748 eV/atom

(4)
Entry from Alexandria: crystalline ErSi2Ni2 at its relaxed geometry (PBEsol).

Cell lengths 5.4488, 5.4488, 5.4488 Å; angles 138.05, 138.05, 60.83 degrees
Element x y z (fractional)
Er (0.0000, 0.0000, 0.0000)
Si (0.3737, 0.3737, 0.0000)
Si (0.6263, 0.6263, 0.0000)
Ni (0.2500, 0.7500, 0.5000)
Ni (0.7500, 0.2500, 0.5000)

**Space group**: No. 139
**E_form (uncorrected)**: -0.920 eV/atom

(5)
Entry from Alexandria: crystalline KF3 at its relaxed geometry (PBEsol).

Cell lengths 5.7656, 5.7656, 5.7656 Å; angles 43.74, 43.74, 43.74 degrees
Element x y z (fractional)
K (0.0000, 0.0000, 0.0000)
F (0.3910, 0.3910, 0.3910)
F (0.5000, 0.5000, 0.5000)
F (0.6090, 0.6090, 0.6090)

**Space group**: No. 166
**E_form (uncorrected)**: -1.482 eV/atom

(6)
Entry from Alexandria: crystalline CrRu2Cl at its relaxed geometry (PBEsol).

Cell lengths 4.2106, 4.2106, 4.2106 Å; angles 60.00, 60.00, 60.00 degrees
Element x y z (fractional)
Cr (0.0000, 0.0000, 0.0000)
Ru (0.2500, 0.2500, 0.2500)
Ru (0.5000, 0.5000, 0.5000)
Cl (0.7500, 0.7500, 0.7500)

**Energy above the most stable polymorph in this dataset**: 549 meV per atom
**Space group**: No. 216
**E_form (uncorrected)**: 0.889 eV/atom

(7)
Entry from Alexandria: crystalline FeSiH2 at its relaxed geometry (PBEsol).

Cell lengths 5.6987, 5.6987, 5.6987 Å; angles 145.17, 145.17, 50.08 degrees
Element x y z (fractional)
Fe (0.0000, 0.0000, 0.0000)
Fe (0.7500, 0.2500, 0.5000)
Si (0.2500, 0.7500, 0.5000)
Si (0.5000, 0.5000, 0.0000)
H (0.0407, 0.6250, 0.9157)
H (0.3750, 0.2907, 0.4157)
H (0.7093, 0.1250, 0.0843)
H (0.8750, 0.9593, 0.5843)

**Space group**: No. 122
**Raw total energy**: -0.183 Ha/atom

(8)
Entry from Alexandria: crystalline Hg2IrOs at its relaxed geometry (PBEsol).

Cell lengths 4.0569, 4.0569, 4.0590 Å; angles 90.00, 90.00, 90.00 degrees
Element x y z (fractional)
Hg (0.0000, 0.5000, 0.0000)
Hg (0.5000, 0.0000, 0.0000)
Ir (0.0000, 0.0000, 0.5000)
Os (0.5000, 0.5000, 0.5000)

**Energy above the most stable polymorph in this dataset**: 167 meV per atom
**Space group**: No. 123
**Calculated formation energy**: 0.906 eV per atom

(9)
Entry from Alexandria: crystalline LiYFe2 at its relaxed geometry (PBEsol).

Cell lengths 3.7169, 3.8840, 4.1590 Å; angles 90.00, 90.00, 90.00 degrees
Element x y z (fractional)
Li (0.0000, 0.0000, 0.0000)
Y (0.5000, 0.5000, 0.0000)
Fe (0.0000, 0.5000, 0.5000)
Fe (0.5000, 0.0000, 0.5000)

**Energy above the most stable polymorph in this dataset**: 90 meV per atom
**Space group**: No. 47
**Calculated formation energy**: 0.383 eV per atom

(10)
Entry from Alexandria: crystalline FeCu2PbCl at its relaxed geometry (PBEsol).

Cell lengths 4.4679, 4.4679, 5.1639 Å; angles 90.00, 90.00, 90.00 degrees
Element x y z (fractional)
Fe (0.0000, 0.0000, 0.0000)
Cu (0.0000, 0.5000, 0.0000)
Cu (0.5000, 0.0000, 0.0000)
Pb (0.0000, 0.0000, 0.5000)
Cl (0.5000, 0.5000, 0.5000)

**Space group**: No. 123
**E_form (uncorrected)**: 0.744 eV/atom

(11)
Entry from Alexandria: crystalline MgZnSe2 at its relaxed geometry (PBEsol).

Cell lengths 3.7217, 5.0327, 9.0163 Å; angles 90.00, 90.00, 90.00 degrees
Element x y z (fractional)
Mg (0.2500, 0.2500, 0.1561)
Mg (0.7500, 0.7500, 0.8439)
Zn (0.2500, 0.2500, 0.5945)
Zn (0.7500, 0.7500, 0.4055)
Se (0.2500, 0.2500, 0.8669)
Se (0.2500, 0.7500, 0.5997)
Se (0.7500, 0.2500, 0.4003)
Se (0.7500, 0.7500, 0.1331)

**Space group**: No. 59
**E_form (uncorrected)**: -0.585 eV/atom

(12)
Entry from Alexandria: crystalline LaCoBr2 at its relaxed geometry (PBEsol).

Cell lengths 3.8927, 3.8576, 6.8545 Å; angles 90.00, 106.44, 90.00 degrees
Element x y z (fractional)
La (0.0000, 0.0000, 0.0000)
Co (0.4041, 0.5000, 0.8822)
Br (0.3254, 0.0000, 0.6505)
Br (0.6243, 0.5000, 0.2399)

**Energy above the most stable polymorph in this dataset**: 0 meV per atom
**Space group**: No. 6
**E_form (uncorrected)**: -0.884 eV/atom

(13)
Entry from Alexandria: crystalline CuIr at its relaxed geometry (PBEsol).

Cell lengths 5.1156, 5.1156, 4.1405 Å; angles 90.00, 90.00, 150.44 degrees
Element x y z (fractional)
Cu (0.1769, 0.8231, 0.7500)
Cu (0.8231, 0.1769, 0.2500)
Ir (0.4301, 0.5699, 0.7500)
Ir (0.5699, 0.4301, 0.2500)

**Space group**: No. 63
**Calculated formation energy**: 0.340 eV per atom

(14)
Entry from Alexandria: crystalline TlRuPt2Rh at its relaxed geometry (PBEsol).

Cell lengths 4.8653, 4.8653, 4.8864 Å; angles 90.00, 90.00, 90.00 degrees
Element x y z (fractional)
Tl (0.0000, 0.0000, 0.0000)
Ru (0.0000, 0.0000, 0.5000)
Pt (0.0000, 0.5000, 0.0000)
Pt (0.5000, 0.0000, 0.0000)
Rh (0.5000, 0.5000, 0.5000)

**Space group**: No. 123
**Calculated formation energy**: 2.322 eV per atom

(15)
Entry from Alexandria: crystalline ErTlSe2 at its relaxed geometry (PBEsol).

Cell lengths 7.9697, 7.9697, 7.9697 Å; angles 29.53, 29.53, 29.53 degrees
Element x y z (fractional)
Er (0.0000, 0.0000, 0.0000)
Tl (0.5000, 0.5000, 0.5000)
Se (0.2645, 0.2645, 0.2645)
Se (0.7355, 0.7355, 0.7355)

**Space group**: No. 166
**E_form (uncorrected)**: -1.351 eV/atom

(16)
Entry from Alexandria: crystalline TaMn2Ni at its relaxed geometry (PBEsol).

Cell lengths 4.4060, 4.4060, 4.2997 Å; angles 102.59, 102.59, 37.41 degrees
Element x y z (fractional)
Ta (0.0000, 0.0000, 0.0000)
Mn (0.2389, 0.2389, 0.7046)
Mn (0.7611, 0.7611, 0.2954)
Ni (0.5000, 0.5000, 0.5000)

**Energy above the most stable polymorph in this dataset**: 86 meV per atom
**Space group**: No. 12
**Calculated formation energy**: 0.105 eV per atom

(17)
Entry from Alexandria: crystalline HfHgN3 at its relaxed geometry (PBEsol).

Cell lengths 4.1987, 4.1987, 4.1987 Å; angles 90.00, 90.00, 90.00 degrees
Element x y z (fractional)
Hf (0.0000, 0.0000, 0.0000)
Hg (0.5000, 0.5000, 0.5000)
N (0.0000, 0.0000, 0.5000)
N (0.0000, 0.5000, 0.0000)
N (0.5000, 0.0000, 0.0000)

**Space group**: No. 221
**E_form (uncorrected)**: 0.705 eV/atom

(18)
Entry from Alexandria: crystalline TaCr2Si at its relaxed geometry (PBEsol).

Cell lengths 2.6727, 2.6727, 7.8205 Å; angles 90.00, 90.00, 108.38 degrees
Element x y z (fractional)
Ta (0.0000, 0.0000, 0.0000)
Cr (0.0000, 0.0000, 0.4995)
Cr (0.5000, 0.5000, 0.7270)
Si (0.5000, 0.5000, 0.2694)

**Space group**: No. 35
**E_form (uncorrected)**: 0.014 eV/atom

(19)
Entry from Alexandria: crystalline YCdI2N at its relaxed geometry (PBEsol).

Cell lengths 5.8823, 5.8823, 4.0094 Å; angles 90.00, 90.00, 90.00 degrees
Element x y z (fractional)
Y (0.0000, 0.0000, 0.0000)
Cd (0.5000, 0.5000, 0.5000)
I (0.0000, 0.5000, 0.5000)
I (0.5000, 0.0000, 0.5000)
N (0.5000, 0.5000, 0.0000)

**Space group**: No. 123
**E_form (uncorrected)**: 0.350 eV/atom

(20)
Entry from Alexandria: crystalline Sr2YGaCu2O7 at its relaxed geometry (PBEsol).

Cell lengths 12.0321, 12.0321, 12.0321 Å; angles 36.88, 153.92, 154.39 degrees
Element x y z (fractional)
Sr (0.0148, 0.1504, 0.1652)
Sr (0.0148, 0.3496, 0.3643)
Sr (0.9852, 0.6504, 0.6357)
Sr (0.9852, 0.8496, 0.8348)
Y (0.0018, 0.0018, 0.0000)
Y (0.0018, 0.5018, 0.5000)
Ga (0.3911, 0.7103, 0.1809)
Ga (0.5294, 0.2103, 0.8191)
Cu (0.5016, 0.5741, 0.0713)
Cu (0.5016, 0.9303, 0.4274)
Cu (0.5028, 0.0741, 0.5726)
Cu (0.5028, 0.4303, 0.9287)
O (0.0024, 0.1882, 0.6905)
O (0.0023, 0.3174, 0.8129)
O (0.0023, 0.6895, 0.1850)
O (0.0024, 0.8119, 0.3142)
O (0.2183, 0.8559, 0.8623)
O (0.4843, 0.2011, 0.6341)
O (0.4843, 0.3502, 0.7832)
O (0.4977, 0.3119, 0.3095)
O (0.4977, 0.6882, 0.6858)
O (0.5045, 0.1895, 0.1871)
O (0.5045, 0.8174, 0.8150)
O (0.5669, 0.7011, 0.2168)
O (0.5669, 0.8502, 0.3659)
O (0.9936, 0.3559, 0.1377)

**Space group**: No. 46
**E_form (uncorrected)**: -2.166 eV/atom

Number 1: calculated volume 111 Å³/cell. Number 2: calculated volume 75 Å³/cell. Number 3: calculated volume 838 Å³/cell. Number 4: calculated volume 72 Å³/cell. Number 5: calculated volume 83 Å³/cell. Number 6: calculated volume 53 Å³/cell. Number 7: calculated volume 60 Å³/cell. Number 8: calculated volume 67 Å³/cell. Number 9: calculated volume 60 Å³/cell. Number 10: calculated volume 103 Å³/cell. Number 11: calculated volume 169 Å³/cell. Number 12: calculated volume 99 Å³/cell. Number 13: calculated volume 53 Å³/cell. Number 14: calculated volume 116 Å³/cell. Number 15: calculated volume 109 Å³/cell. Number 16: calculated volume 49 Å³/cell. Number 17: calculated volume 74 Å³/cell. Number 18: calculated volume 53 Å³/cell. Number 19: calculated volume 139 Å³/cell. Number 20: calculated volume 331 Å³/cell.